# 1
Compound: MnSn2H2
Source: Alexandria via LeMat-Bulk
Functional: PBE-GGA
Structure: relaxed

Calculated values
size of the total moment: 3.17 μB per cell
E: -4.295 eV/atom

Cell lengths 7.249, 7.249, 7.249 Å; angles 154.51, 154.51, 36.36 degrees
Sites, in units of the cell vectors:
1 Mn 0.000 0.000 0.000
2 Sn 0.367 0.367 0.000
3 Sn 0.633 0.633 0.000
4 H 0.250 0.750 0.500
5 H 0.750 0.250 0.500

=====

# 2
Compound: AcHo2RhN4
Source: Alexandria via LeMat-Bulk
Functional: PBE-GGA
Structure: relaxed

Calculated values
size of the total moment: 0.00 μB per cell
E: -7.696 eV/atom

Cell lengths 6.173, 6.173, 11.654 Å; angles 90.00, 90.00, 146.48 degrees
Sites, in units of the cell vectors:
1 Ac 0.113 0.887 0.750
2 Ac 0.887 0.113 0.250
3 Ho 0.369 0.631 0.545
4 Ho 0.369 0.631 0.955
5 Ho 0.631 0.369 0.045
6 Ho 0.631 0.369 0.455
7 Rh 0.150 0.850 0.250
8 Rh 0.850 0.150 0.750
9 N 0.000 0.000 0.000
10 N 0.000 0.000 0.500
11 N 0.267 0.733 0.120
12 N 0.267 0.733 0.380
13 N 0.428 0.572 0.750
14 N 0.572 0.428 0.250
15 N 0.733 0.267 0.620
16 N 0.733 0.267 0.880

=====

# 3
Compound: Dy5PbSe4
Source: Alexandria via LeMat-Bulk
Functional: PBE-GGA
Structure: relaxed

Calculated values
size of the total moment: 0.00 μB per cell
E: -5.569 eV/atom

Cell lengths 7.204, 7.204, 7.204 Å; angles 99.59, 99.59, 131.81 degrees
Sites, in units of the cell vectors:
1 Dy 0.000 0.000 0.000
2 Dy 0.191 0.399 0.590
3 Dy 0.399 0.809 0.208
4 Dy 0.601 0.191 0.792
5 Dy 0.809 0.601 0.410
6 Pb 0.500 0.500 0.000
7 Se 0.104 0.701 0.805
8 Se 0.299 0.104 0.403
9 Se 0.701 0.896 0.597
10 Se 0.896 0.299 0.195

=====

# 4
Compound: PrDyScGa
Source: Alexandria via LeMat-Bulk
Functional: PBE-GGA
Structure: relaxed

Calculated values
size of the total moment: 1.15 μB per cell
formation energy from the elements: -0.14 eV/atom

Cell lengths 5.287, 5.287, 5.287 Å; angles 60.00, 60.00, 60.00 degrees
Sites, in units of the cell vectors:
1 Pr 0.000 0.000 0.000
2 Dy 0.500 0.500 0.500
3 Sc 0.750 0.750 0.750
4 Ga 0.250 0.250 0.250

=====

# 5
Compound: NaRe3C
Source: Alexandria via LeMat-Bulk
Functional: PBE-GGA
Structure: relaxed

Calculated values
size of the total moment: 0.00 μB per cell
offset from the most stable computed form: 0.000 eV/atom
formation energy from the elements: 0.81 eV/atom

Cell lengths 4.140, 4.140, 4.140 Å; angles 90.00, 90.00, 90.00 degrees
Sites, in units of the cell vectors:
1 Na 0.000 0.000 0.000
2 Re 0.000 0.500 0.500
3 Re 0.500 0.000 0.500
4 Re 0.500 0.500 0.000
5 C 0.500 0.500 0.500

=====

# 6
Compound: BaLaCr
Source: Alexandria via LeMat-Bulk
Functional: PBE-GGA
Structure: relaxed

Calculated values
size of the total moment: 3.56 μB per cell
offset from the most stable computed form: 0.177 eV/atom
formation energy from the elements: 0.65 eV/atom

Cell lengths 4.011, 4.011, 8.082 Å; angles 90.00, 90.00, 120.00 degrees
Sites, in units of the cell vectors:
1 Ba 0.000 0.000 0.000
2 La 0.333 0.667 0.540
3 Cr 0.667 0.333 0.301

=====

# 7
Compound: Ni2OsBr
Source: Alexandria via LeMat-Bulk
Functional: PBE-GGA
Structure: relaxed

Calculated values
size of the total moment: 0.00 μB per cell
offset from the most stable computed form: 0.218 eV/atom

Cell lengths 3.813, 6.318, 6.318 Å; angles 24.88, 90.00, 90.00 degrees
Sites, in units of the cell vectors:
1 Ni 0.000 0.000 0.000
2 Ni 0.500 0.115 0.115
3 Os 0.500 0.437 0.437
4 Br 0.000 0.249 0.249

=====

# 8
Compound: Cs2LiCeCl6
Source: Alexandria via LeMat-Bulk
Functional: PBE-GGA
Structure: relaxed

Calculated values
size of the total moment: 1.00 μB per cell
E: -4.145 eV/atom

Cell lengths 7.633, 7.633, 7.633 Å; angles 60.00, 60.00, 60.00 degrees
Sites, in units of the cell vectors:
1 Cs 0.250 0.250 0.250
2 Cs 0.750 0.750 0.750
3 Li 0.000 0.000 0.000
4 Ce 0.500 0.500 0.500
5 Cl 0.245 0.245 0.755
6 Cl 0.245 0.755 0.245
7 Cl 0.245 0.755 0.755
8 Cl 0.755 0.245 0.245
9 Cl 0.755 0.245 0.755
10 Cl 0.755 0.755 0.245

=====

# 9
Compound: Pr2Nd3Ho5
Source: Alexandria via LeMat-Bulk
Functional: PBE-GGA
Structure: relaxed

Calculated values
size of the total moment: 0.00 μB per cell
offset from the most stable computed form: 0.000 eV/atom
formation energy from the elements: 0.18 eV/atom

Cell lengths 9.819, 9.819, 9.336 Å; angles 108.20, 108.20, 113.91 degrees
Sites, in units of the cell vectors:
1 Pr 0.024 0.267 0.045
2 Pr 0.267 0.024 0.545
3 Pr 0.733 0.976 0.455
4 Pr 0.976 0.733 0.955
5 Nd 0.227 0.473 0.454
6 Nd 0.271 0.729 0.250
7 Nd 0.473 0.227 0.954
8 Nd 0.527 0.773 0.046
9 Nd 0.729 0.271 0.750
10 Nd 0.773 0.527 0.546
11 Ho 0.027 0.973 0.750
12 Ho 0.138 0.369 0.753
13 Ho 0.228 0.772 0.750
14 Ho 0.369 0.138 0.253
15 Ho 0.473 0.527 0.250
16 Ho 0.527 0.473 0.750
17 Ho 0.631 0.862 0.747
18 Ho 0.772 0.228 0.250
19 Ho 0.862 0.631 0.247
20 Ho 0.973 0.027 0.250

=====

# 10
Compound: Nd5CdHg6
Source: Alexandria via LeMat-Bulk
Functional: PBE-GGA
Structure: relaxed

Calculated values
size of the total moment: 0.82 μB per cell
formation energy from the elements: -0.44 eV/atom

Cell lengths 8.380, 8.380, 7.683 Å; angles 90.00, 90.00, 142.70 degrees
Sites, in units of the cell vectors:
1 Nd 0.000 0.000 0.000
2 Nd 0.324 0.676 0.000
3 Nd 0.345 0.655 0.500
4 Nd 0.655 0.345 0.500
5 Nd 0.676 0.324 0.000
6 Cd 0.000 0.000 0.500
7 Hg 0.164 0.836 0.264
8 Hg 0.164 0.836 0.736
9 Hg 0.500 0.500 0.234
10 Hg 0.500 0.500 0.766
11 Hg 0.836 0.164 0.264
12 Hg 0.836 0.164 0.736

=====

# 11
Compound: InMo2Pd
Source: Alexandria via LeMat-Bulk
Functional: PBE-GGA
Structure: relaxed

Calculated values
size of the total moment: 0.00 μB per cell
formation energy from the elements: 0.72 eV/atom

Cell lengths 5.909, 5.909, 5.909 Å; angles 101.45, 101.45, 127.08 degrees
Sites, in units of the cell vectors:
1 In 0.000 0.000 0.000
2 In 0.750 0.250 0.500
3 Mo 0.146 0.625 0.021
4 Mo 0.375 0.396 0.521
5 Mo 0.604 0.125 0.979
6 Mo 0.875 0.854 0.479
7 Pd 0.250 0.750 0.500
8 Pd 0.500 0.500 0.000

=====

# 12
Compound: ZnCuAs2O8
Source: Alexandria via LeMat-Bulk
Functional: PBE-GGA
Structure: relaxed

Calculated values
size of the total moment: 3.03 μB per cell
E: -5.228 eV/atom

Cell lengths 5.667, 5.667, 5.667 Å; angles 108.25, 108.25, 111.95 degrees
Sites, in units of the cell vectors:
1 Zn 0.000 0.000 0.000
2 Cu 0.250 0.750 0.500
3 As 0.500 0.500 0.000
4 As 0.750 0.250 0.500
5 O 0.313 0.123 0.810
6 O 0.313 0.504 0.190
7 O 0.375 0.065 0.311
8 O 0.496 0.687 0.810
9 O 0.754 0.065 0.689
10 O 0.877 0.687 0.190
11 O 0.935 0.246 0.311
12 O 0.935 0.625 0.689